No. 1
The following is a DFT calculation (PBE) of a relaxed Ba2TlCd16 crystal. Values from VASP.

Values from the calculation:
- Energy of formation: -4.25 kcal/mol of atoms
- Electronic total energy: -24.4 eV/cell
- Space group: R3m

The structure in Quantum ESPRESSO input format:
```
&SYSTEM
  ibrav = 0, nat = 19, ntyp = 3
/
ATOMIC_SPECIES
Ba 137.33 Ba.upf
Tl 204.38 Tl.upf
Cd 112.41 Cd.upf
CELL_PARAMETERS angstrom
-4.710 6.235 1.154
-5.978 -3.961 3.311
2.058 1.332 7.509
ATOMIC_POSITIONS crystal
Ba 0.664 0.664 0.664
Ba 0.337 0.337 0.337
Tl 0.899 0.899 0.899
Cd 0.701 0.999 0.299
Cd 0.999 0.299 0.701
Cd 0.299 0.701 0.999
Cd 0.999 0.701 0.299
Cd 0.701 0.299 0.999
Cd 0.299 0.999 0.701
Cd 0.354 0.837 0.354
Cd 0.837 0.354 0.354
Cd 0.354 0.354 0.837
Cd 0.644 0.166 0.644
Cd 0.166 0.644 0.644
Cd 0.644 0.644 0.166
Cd 0.005 0.491 0.005
Cd 0.491 0.005 0.005
Cd 0.005 0.005 0.491
Cd 0.100 0.100 0.100
```

No. 2
The following is a DFT calculation (PBE) of a relaxed Ba2Tl5Cd5 crystal. Values from VASP.

Values from the calculation:
- Energy of formation: -3.81 kcal/mol of atoms
- Electronic total energy: -22.2 eV/cell
- Space group: Pmmm

The structure in Quantum ESPRESSO input format:
```
&SYSTEM
  ibrav = 0, nat = 12, ntyp = 3
/
ATOMIC_SPECIES
Ba 137.33 Ba.upf
Tl 204.38 Tl.upf
Cd 112.41 Cd.upf
CELL_PARAMETERS angstrom
-4.219 1.381 -2.617
-3.184 -4.812 2.593
-3.148 6.733 8.629
ATOMIC_POSITIONS crystal
Ba 0.000 0.500 0.000
Ba 0.000 0.000 0.500
Tl 0.000 0.500 0.336
Tl 0.000 0.000 0.822
Tl 0.000 0.000 0.178
Tl 0.000 0.500 0.664
Tl 0.500 0.000 0.000
Cd 0.500 0.500 0.500
Cd 0.500 0.750 0.258
Cd 0.500 0.250 0.742
Cd 0.500 0.250 0.258
Cd 0.500 0.750 0.742
```

No. 3
The following is a DFT calculation (PBE) of a relaxed BaTlCd2 crystal. Values from VASP.

Values from the calculation:
- Relative energy among the computed polymorphs: 0.006 eV/atom
- Energy of formation: -5.44 kcal/mol of atoms
- Electronic total energy: -7.1 eV/cell
- Space group: Imm2

The structure in Quantum ESPRESSO input format:
```
&SYSTEM
  ibrav = 0, nat = 4, ntyp = 3
/
ATOMIC_SPECIES
Tl 204.38 Tl.upf
Ba 137.33 Ba.upf
Cd 112.41 Cd.upf
CELL_PARAMETERS angstrom
5.523 -0.530 -0.359
0.506 5.525 0.359
-2.776 -2.785 3.930
ATOMIC_POSITIONS crystal
Tl 0.501 0.501 0.000
Ba 0.250 0.750 0.500
Cd 0.999 0.999 0.000
Cd 0.750 0.250 0.500
```

No. 4
The following is a DFT calculation (PBE) of a relaxed Ba3Tl2Cd crystal. Values from VASP.

Values from the calculation:
- Energy of formation: -8.76 kcal/mol of atoms
- Electronic total energy: -13.7 eV/cell
- Space group: Cmmm

The structure in Quantum ESPRESSO input format:
```
&SYSTEM
  ibrav = 0, nat = 6, ntyp = 3
/
ATOMIC_SPECIES
Ba 137.33 Ba.upf
Tl 204.38 Tl.upf
Cd 112.41 Cd.upf
CELL_PARAMETERS angstrom
-2.363 3.557 0.504
-4.460 -2.505 -3.231
-1.333 -2.189 9.203
ATOMIC_POSITIONS crystal
Ba 0.500 0.500 0.000
Ba 0.500 0.835 0.669
Ba 0.500 0.165 0.331
Tl 0.000 0.331 0.663
Tl 0.000 0.669 0.337
Cd 0.000 0.000 0.000
```

No. 5
The following is a DFT calculation (PBE) of a relaxed Ba3Tl2Cd crystal. Values from VASP.

Values from the calculation:
- Energy of formation: -8.74 kcal/mol of atoms
- Electronic total energy: -13.7 eV/cell
- Space group: P4/mmm

The structure in Quantum ESPRESSO input format:
```
&SYSTEM
  ibrav = 0, nat = 6, ntyp = 3
/
ATOMIC_SPECIES
Ba 137.33 Ba.upf
Tl 204.38 Tl.upf
Cd 112.41 Cd.upf
CELL_PARAMETERS angstrom
4.276 0.000 0.000
0.000 4.276 0.000
0.000 0.000 12.924
ATOMIC_POSITIONS crystal
Ba 0.000 0.000 0.000
Ba 0.000 0.000 0.667
Ba 0.000 0.000 0.333
Tl 0.500 0.500 0.835
Tl 0.500 0.500 0.165
Cd 0.500 0.500 0.500
```

No. 6
The following is a DFT calculation (PBE) of a relaxed Ba3TlCd crystal. Values from VASP.

Values from the calculation:
- Relative energy among the computed polymorphs: 0.374 eV/atom
- Energy of formation: 1.20 kcal/mol of atoms
- Electronic total energy: -8.8 eV/cell
- Space group: Pm-3m

The structure in Quantum ESPRESSO input format:
```
&SYSTEM
  ibrav = 0, nat = 5, ntyp = 3
/
ATOMIC_SPECIES
Tl 204.38 Tl.upf
Ba 137.33 Ba.upf
Cd 112.41 Cd.upf
CELL_PARAMETERS angstrom
6.709 0.000 0.000
0.000 6.709 0.000
0.000 0.000 6.709
ATOMIC_POSITIONS crystal
Tl 0.000 0.000 0.000
Ba 0.000 0.500 0.000
Ba 0.000 0.000 0.500
Ba 0.500 0.000 0.000
Cd 0.500 0.500 0.500
```

No. 7
The following is a DFT calculation (PBE) of a relaxed Ba2TlCd2 crystal. Values from VASP.

Values from the calculation:
- Relative energy among the computed polymorphs: 0.000 eV/atom
- Energy of formation: -7.48 kcal/mol of atoms
- Electronic total energy: -19.3 eV/cell
- Space group: C2/m

The structure in Quantum ESPRESSO input format:
```
&SYSTEM
  ibrav = 0, nat = 10, ntyp = 3
/
ATOMIC_SPECIES
Ba 137.33 Ba.upf
Tl 204.38 Tl.upf
Cd 112.41 Cd.upf
CELL_PARAMETERS angstrom
-2.214 -0.124 -4.731
4.584 -0.146 -5.026
-1.632 -11.378 -1.822
ATOMIC_POSITIONS crystal
Ba 0.683 0.291 0.343
Ba 0.916 0.283 0.885
Ba 0.317 0.709 0.657
Ba 0.084 0.717 0.115
Tl 0.619 0.109 0.653
Tl 0.381 0.891 0.347
Cd 0.076 0.289 0.560
Cd 0.623 0.865 0.889
Cd 0.924 0.711 0.440
Cd 0.377 0.135 0.111
```

No. 8
The following is a DFT calculation (PBE) of a relaxed BaTl6Cd4 crystal. Values from VASP.

Values from the calculation:
- Energy of formation: -0.18 kcal/mol of atoms
- Electronic total energy: -19.9 eV/cell
- Space group: I-42m

The structure in Quantum ESPRESSO input format:
```
&SYSTEM
  ibrav = 0, nat = 11, ntyp = 3
/
ATOMIC_SPECIES
Ba 137.33 Ba.upf
Tl 204.38 Tl.upf
Cd 112.41 Cd.upf
CELL_PARAMETERS angstrom
8.025 -0.348 -0.512
-4.019 6.955 0.512
-4.019 -2.081 6.656
ATOMIC_POSITIONS crystal
Ba 0.000 0.000 0.000
Tl 0.000 0.909 0.487
Tl 0.000 0.487 0.909
Tl 0.578 0.091 0.091
Tl 0.500 0.000 0.500
Tl 0.422 0.513 0.513
Tl 0.500 0.500 0.000
Cd 0.000 0.259 0.577
Cd 0.683 0.423 0.423
Cd 0.000 0.577 0.259
Cd 0.317 0.741 0.741
```

No. 9
The following is a DFT calculation (PBE) of a relaxed BaTlCd3 crystal. Values from VASP.

Values from the calculation:
- Relative energy among the computed polymorphs: 0.307 eV/atom
- Energy of formation: 1.56 kcal/mol of atoms
- Electronic total energy: -6.7 eV/cell
- Space group: Pm-3m

The structure in Quantum ESPRESSO input format:
```
&SYSTEM
  ibrav = 0, nat = 5, ntyp = 3
/
ATOMIC_SPECIES
Tl 204.38 Tl.upf
Ba 137.33 Ba.upf
Cd 112.41 Cd.upf
CELL_PARAMETERS angstrom
-1.088 3.239 4.551
-2.695 -4.365 2.463
4.893 -1.685 2.368
ATOMIC_POSITIONS crystal
Tl 0.000 0.000 0.000
Ba 0.500 0.500 0.500
Cd 0.000 0.500 0.000
Cd 0.000 0.000 0.500
Cd 0.500 0.000 0.000
```

No. 10
The following is a DFT calculation (PBE) of a relaxed Ba2TlCd crystal. Values from VASP.

Values from the calculation:
- Relative energy among the computed polymorphs: 0.000 eV/atom
- Energy of formation: -8.60 kcal/mol of atoms
- Electronic total energy: -8.6 eV/cell
- Space group: Fm-3m

The structure in Quantum ESPRESSO input format:
```
&SYSTEM
  ibrav = 0, nat = 4, ntyp = 3
/
ATOMIC_SPECIES
Tl 204.38 Tl.upf
Ba 137.33 Ba.upf
Cd 112.41 Cd.upf
CELL_PARAMETERS angstrom
-1.226 2.357 5.429
-0.305 5.996 0.692
-5.334 2.658 1.006
ATOMIC_POSITIONS crystal
Tl 0.500 0.500 0.500
Ba 0.250 0.250 0.250
Ba 0.750 0.750 0.750
Cd 0.000 0.000 0.000
```

No. 11
The following is a DFT calculation (PBE) of a relaxed Ba2TlCd6 crystal. Values from VASP.

Values from the calculation:
- Energy of formation: -6.10 kcal/mol of atoms
- Electronic total energy: -14.1 eV/cell
- Space group: P-3m1

The structure in Quantum ESPRESSO input format:
```
&SYSTEM
  ibrav = 0, nat = 9, ntyp = 3
/
ATOMIC_SPECIES
Ba 137.33 Ba.upf
Tl 204.38 Tl.upf
Cd 112.41 Cd.upf
CELL_PARAMETERS angstrom
-4.445 5.076 0.927
-4.809 -3.670 -2.961
0.924 -0.405 6.661
ATOMIC_POSITIONS crystal
Ba 0.849 0.667 0.333
Ba 0.151 0.333 0.667
Tl 0.000 0.000 0.000
Cd 0.345 0.359 0.180
Cd 0.345 0.820 0.640
Cd 0.345 0.820 0.180
Cd 0.655 0.641 0.820
Cd 0.655 0.180 0.360
Cd 0.655 0.180 0.820
```

No. 12
The following is a DFT calculation (PBE) of a relaxed Ba5Tl2Cd crystal. Values from VASP.

Values from the calculation:
- Energy of formation: -6.26 kcal/mol of atoms
- Electronic total energy: -34.9 eV/cell
- Space group: I4/mcm

The structure in Quantum ESPRESSO input format:
```
&SYSTEM
  ibrav = 0, nat = 16, ntyp = 3
/
ATOMIC_SPECIES
Ba 137.33 Ba.upf
Tl 204.38 Tl.upf
Cd 112.41 Cd.upf
CELL_PARAMETERS angstrom
-8.703 -1.958 -3.817
3.722 0.846 -8.920
4.207 -7.064 6.362
ATOMIC_POSITIONS crystal
Ba 0.522 0.693 0.715
Ba 0.807 0.978 0.285
Ba 0.000 0.000 0.000
Ba 0.500 0.500 0.000
Ba 0.193 0.022 0.715
Ba 0.693 0.193 0.715
Ba 0.022 0.522 0.715
Ba 0.307 0.807 0.285
Ba 0.978 0.478 0.285
Ba 0.478 0.307 0.285
Tl 0.127 0.373 0.000
Tl 0.627 0.127 0.000
Tl 0.373 0.873 0.000
Tl 0.873 0.627 0.000
Cd 0.750 0.750 0.500
Cd 0.250 0.250 0.500
```